## one
DFT (GGA-PBE) results for a relaxed Li4Pr3Tl4 crystal.

It has space group P-1 (No. 2), with a = 3.582 Å, b = 5.017 Å, c = 15.925 Å, α = 81.00°, β = 83.55° and γ = 90.00°. Symmetry generates all atoms from Li at (0.092, 0.093, 0.313), Li at (0.240, 0.740, 0.018), Pr at (0.357, 0.357, 0.787), Pr at (0.500, 0.000, 0.500), Tl at (0.051, 0.551, 0.398) and Tl at (0.186, 0.185, 0.128).

The calculation puts the theoretical density at 7.50 Mg/m³. The value obtained for the calculated volume is 25.53 A^3/atom. Its crystal system is triclinic.

## two
DFT (GGA-PBE) results for a relaxed Li4Pr3Tl4 crystal.

It has space group Immm (No. 71), with a = 4.850 Å, b = 7.519 Å, c = 15.285 Å, α = 90.00°, β = 90.00° and γ = 90.00°. Symmetry generates all atoms from Li at (0.000, 0.185, 0.175), Pr at (0.000, 0.000, 0.378), Pr at (0.000, 0.500, 0.500), Tl at (0.000, 0.293, 0.000) and Tl at (0.000, 0.500, 0.280).

The calculation puts the theoretical density at 7.55 Mg/m³. The value obtained for the calculated volume is 25.34 A^3/atom. Its crystal system is orthorhombic.

Which structure is most stable, and how do the rest compare? From most to least stable: one, two.

## one
DFT (GGA-PBE) results for a relaxed LiPrTm2 crystal.

It has space group P4/mmm (No. 123), with a = 5.643 Å, b = 5.643 Å, c = 3.710 Å, α = 90.00°, β = 90.00° and γ = 90.00°. Symmetry generates all atoms from Li at (0.000, 0.000, 0.000), Pr at (0.500, 0.500, 0.000) and Tm at (0.000, 0.500, 0.500).

The calculation puts the theoretical density at 6.83 Mg/m³. The value obtained for the calculated volume is 29.53 A^3/atom. Its crystal system is tetragonal.

## two
DFT (GGA-PBE) results for a relaxed LiPrTm2 crystal.

It has space group P4/mmm (No. 123), with a = 3.648 Å, b = 3.648 Å, c = 8.670 Å, α = 90.00°, β = 90.00° and γ = 90.00°. Symmetry generates all atoms from Li at (0.000, 0.000, 0.000), Pr at (0.000, 0.000, 0.500) and Tm at (0.500, 0.500, 0.213).

The calculation puts the theoretical density at 6.99 Mg/m³. The value obtained for the calculated volume is 28.85 A^3/atom. Its crystal system is tetragonal.

## three
DFT (GGA-PBE) results for a relaxed LiPrTm2 crystal.

It has space group R-3m (No. 166, hexagonal axes), with a = 3.4782 Å, b = 3.4782 Å, c = 36.3098 Å, α = 90.00°, β = 90.00° and γ = 120.00°. Symmetry generates all atoms from Li at (0.0000, 0.0000, 0.0000), Pr at (0.0000, 0.0000, 0.5000) and Tm at (0.0000, 0.0000, 0.0876).

The calculation puts the theoretical density at 6.36 Mg/m³. The value obtained for the calculated volume is 31.70 A^3/atom. Its crystal system is trigonal.

Which structure is most stable, and how do the rest compare? From most to least stable: two, one, three.

## one
DFT (GGA-PBE) results for a relaxed LiPr2Tm crystal.

It has space group Fm-3m (No. 225), with a = 7.920 Å, b = 7.920 Å, c = 7.920 Å, α = 90.00°, β = 90.00° and γ = 90.00°. Symmetry generates all atoms from Li at (0.000, 0.000, 0.000), Pr at (0.250, 0.250, 0.250) and Tm at (0.000, 0.000, 0.500).

The calculation puts the theoretical density at 6.12 Mg/m³. The value obtained for the calculated volume is 31.05 A^3/atom. Its crystal system is cubic.

## two
DFT (GGA-PBE) results for a relaxed LiPr2Tm crystal.

It has space group R3m (No. 160, hexagonal axes), with a = 3.5741 Å, b = 3.5741 Å, c = 34.4342 Å, α = 90.00°, β = 90.00° and γ = 120.00°. Symmetry generates all atoms from Li at (0.0000, 0.0000, 0.0000), Pr at (0.0000, 0.0000, 0.2503), Pr at (0.0000, 0.0000, 0.4159) and Tm at (0.0000, 0.0000, 0.8330).

The calculation puts the theoretical density at 5.99 Mg/m³. The value obtained for the calculated volume is 31.75 A^3/atom. Its crystal system is trigonal.

Which structure is most stable, and how do the rest compare? From most to least stable: two, one.

## one
DFT (GGA-PBE) results for a relaxed LiPr2Tm crystal.

It has space group R-3m (No. 166, hexagonal axes), with a = 3.5287 Å, b = 3.5287 Å, c = 37.2763 Å, α = 90.00°, β = 90.00° and γ = 120.00°. Symmetry generates all atoms from Li at (0.0000, 0.0000, 0.0000), Pr at (0.0000, 0.0000, 0.0894) and Tm at (0.0000, 0.0000, 0.5000).

The calculation puts the theoretical density at 5.67 Mg/m³. The value obtained for the calculated volume is 33.50 A^3/atom. Its crystal system is trigonal.

## two
DFT (GGA-PBE) results for a relaxed LiPr2Tm crystal.

It has space group P4/mmm (No. 123), with a = 3.670 Å, b = 3.670 Å, c = 9.185 Å, α = 90.00°, β = 90.00° and γ = 90.00°. Symmetry generates all atoms from Li at (0.000, 0.000, 0.000), Pr at (0.500, 0.500, 0.233) and Tm at (0.000, 0.000, 0.500).

The calculation puts the theoretical density at 6.14 Mg/m³. The value obtained for the calculated volume is 30.92 A^3/atom. Its crystal system is tetragonal.

Which structure is most stable, and how do the rest compare? From most to least stable: two, one.

## one
DFT (GGA-PBE) results for a relaxed LiPr2Y crystal.

It has space group R-3m (No. 166, hexagonal axes), with a = 3.5573 Å, b = 3.5573 Å, c = 37.5392 Å, α = 90.00°, β = 90.00° and γ = 120.00°. Symmetry generates all atoms from Li at (0.0000, 0.0000, 0.0000), Pr at (0.0000, 0.0000, 0.0888) and Y at (0.0000, 0.0000, 0.5000).

The calculation puts the theoretical density at 4.57 Mg/m³. The value obtained for the calculated volume is 34.28 A^3/atom. Its crystal system is trigonal.

## two
DFT (GGA-PBE) results for a relaxed LiPr2Y crystal.

It has space group P4/mmm (No. 123), with a = 3.686 Å, b = 3.686 Å, c = 9.283 Å, α = 90.00°, β = 90.00° and γ = 90.00°. Symmetry generates all atoms from Li at (0.000, 0.000, 0.000), Pr at (0.500, 0.500, 0.228) and Y at (0.000, 0.000, 0.500).

The calculation puts the theoretical density at 4.97 Mg/m³. The value obtained for the calculated volume is 31.52 A^3/atom. Its crystal system is tetragonal.

Which structure is most stable, and how do the rest compare? From most to least stable: two, one.

## one
DFT (GGA-PBE) results for a relaxed LiPr2Y crystal.

It has space group P3m1 (No. 156), with a = 3.5838 Å, b = 3.5838 Å, c = 12.0034 Å, α = 90.00°, β = 90.00° and γ = 120.00°. Symmetry generates all atoms from Li at (0.0000, 0.0000, 0.0000), Pr at (0.0000, 0.0000, 0.7257), Pr at (0.6667, 0.3333, 0.2377) and Y at (0.3333, 0.6667, 0.4838).

The calculation puts the theoretical density at 4.70 Mg/m³. The value obtained for the calculated volume is 33.38 A^3/atom. Its crystal system is trigonal.

## two
DFT (GGA-PBE) results for a relaxed LiPr2Y crystal.

It has space group Fm-3m (No. 225), with a = 7.989 Å, b = 7.989 Å, c = 7.989 Å, α = 90.00°, β = 90.00° and γ = 90.00°. Symmetry generates all atoms from Li at (0.000, 0.000, 0.000), Pr at (0.250, 0.250, 0.250) and Y at (0.000, 0.000, 0.500).

The calculation puts the theoretical density at 4.92 Mg/m³. The value obtained for the calculated volume is 31.87 A^3/atom. Its crystal system is cubic.

Which structure is most stable, and how do the rest compare? From most to least stable: one, two.

## one
DFT (GGA-PBE) results for a relaxed LiPrY2 crystal.

It has space group P4/mmm (No. 123), with a = 5.732 Å, b = 5.732 Å, c = 3.734 Å, α = 90.00°, β = 90.00° and γ = 90.00°. Symmetry generates all atoms from Li at (0.000, 0.000, 0.000), Pr at (0.500, 0.500, 0.000) and Y at (0.000, 0.500, 0.500).

The calculation puts the theoretical density at 4.41 Mg/m³. The value obtained for the calculated volume is 30.67 A^3/atom. Its crystal system is tetragonal.

## two
DFT (GGA-PBE) results for a relaxed LiPrY2 crystal.

It has space group R3m (No. 160, hexagonal axes), with a = 3.5696 Å, b = 3.5696 Å, c = 33.9839 Å, α = 90.00°, β = 90.00° and γ = 120.00°. Symmetry generates all atoms from Li at (0.0000, 0.0000, 0.0000), Pr at (0.0000, 0.0000, 0.1665), Y at (0.0000, 0.0000, 0.4118) and Y at (0.0000, 0.0000, 0.5879).

The calculation puts the theoretical density at 4.33 Mg/m³. The value obtained for the calculated volume is 31.25 A^3/atom. Its crystal system is trigonal.

Which structure is most stable, and how do the rest compare? From most to least stable: two, one.

## one
DFT (GGA-PBE) results for a relaxed LiPrZn2 crystal.

It has space group P4/mmm (No. 123), with a = 5.077 Å, b = 5.077 Å, c = 3.488 Å, α = 90.00°, β = 90.00° and γ = 90.00°. Symmetry generates all atoms from Li at (0.000, 0.000, 0.000), Pr at (0.500, 0.500, 0.000) and Zn at (0.000, 0.500, 0.500).

The calculation puts the theoretical density at 5.15 Mg/m³. The value obtained for the calculated volume is 22.47 A^3/atom. Its crystal system is tetragonal.

## two
DFT (GGA-PBE) results for a relaxed LiPrZn2 crystal.

It has space group P4/mmm (No. 123), with a = 3.411 Å, b = 3.411 Å, c = 7.055 Å, α = 90.00°, β = 90.00° and γ = 90.00°. Symmetry generates all atoms from Li at (0.000, 0.000, 0.000), Pr at (0.000, 0.000, 0.500) and Zn at (0.500, 0.500, 0.195).

The calculation puts the theoretical density at 5.64 Mg/m³. The value obtained for the calculated volume is 20.52 A^3/atom. Its crystal system is tetragonal.

Which structure is most stable, and how do the rest compare? From most to least stable: two, one.

## one
DFT (GGA-PBE) results for a relaxed Li2PrZn9 crystal.

It has space group P6/mmm (No. 191), with a = 8.7823 Å, b = 8.7823 Å, c = 2.9688 Å, α = 90.00°, β = 90.00° and γ = 120.00°. Symmetry generates all atoms from Li at (0.3333, 0.6667, 0.0000), Pr at (0.0000, 0.0000, 0.0000), Zn at (0.0000, 0.5000, 0.0000) and Zn at (0.1855, 0.3710, 0.5000).

The calculation puts the theoretical density at 6.23 Mg/m³. The value obtained for the calculated volume is 16.53 A^3/atom. Its crystal system is hexagonal.

## two
DFT (GGA-PBE) results for a relaxed Li2PrZn9 crystal.

It has space group R-3m (No. 166, hexagonal axes), with a = 5.3077 Å, b = 5.3077 Å, c = 25.2093 Å, α = 90.00°, β = 90.00° and γ = 120.00°. Symmetry generates all atoms from Li at (0.0000, 0.0000, 0.1435), Pr at (0.0000, 0.0000, 0.0000), Zn at (0.0000, 0.0000, 0.3345), Zn at (0.0000, 0.0000, 0.5000) and Zn at (0.0068, 0.5034, 0.9132).

The calculation puts the theoretical density at 6.02 Mg/m³. The value obtained for the calculated volume is 17.08 A^3/atom. Its crystal system is trigonal.

Which structure is most stable, and how do the rest compare? From most to least stable: two, one.

## one
DFT (GGA-PBE) results for a relaxed Li2PrZn6 crystal.

It has space group Immm (No. 71), with a = 3.512 Å, b = 7.534 Å, c = 12.801 Å, α = 90.00°, β = 90.00° and γ = 90.00°. Symmetry generates all atoms from Li at (0.000, 0.000, 0.135), Pr at (0.000, 0.500, 0.000), Zn at (0.000, 0.186, 0.317) and Zn at (0.000, 0.337, 0.500).

The calculation puts the theoretical density at 5.37 Mg/m³. The value obtained for the calculated volume is 18.82 A^3/atom. Its crystal system is orthorhombic.

## two
DFT (GGA-PBE) results for a relaxed Li2PrZn6 crystal.

It has space group P6/mmm (No. 191), with a = 7.8902 Å, b = 7.8902 Å, c = 3.1566 Å, α = 90.00°, β = 90.00° and γ = 120.00°. Symmetry generates all atoms from Li at (0.3333, 0.6667, 0.0000), Pr at (0.0000, 0.0000, 0.0000) and Zn at (0.0000, 0.3442, 0.5000).

The calculation puts the theoretical density at 5.34 Mg/m³. The value obtained for the calculated volume is 18.91 A^3/atom. Its crystal system is hexagonal.

Which structure is most stable, and how do the rest compare? From most to least stable: one, two.

## one
DFT (GGA-PBE) results for a relaxed LiPrZn3 crystal.

It has space group P2_1/m (No. 11), with a = 5.935 Å, b = 6.162 Å, c = 5.938 Å, α = 90.00°, β = 114.35° and γ = 90.00°. Symmetry generates all atoms from Li at (0.103, 0.250, 0.400), Pr at (0.230, 0.750, 0.271), Zn at (0.284, 0.501, 0.785) and Zn at (0.349, 0.250, 0.150).

The calculation puts the theoretical density at 5.78 Mg/m³. The value obtained for the calculated volume is 19.78 A^3/atom. Its crystal system is monoclinic.

## two
DFT (GGA-PBE) results for a relaxed LiPrZn3 crystal.

It has space group Pm-3m (No. 221), with a = 4.602 Å, b = 4.602 Å, c = 4.602 Å, α = 90.00°, β = 90.00° and γ = 90.00°. Symmetry generates all atoms from Li at (0.000, 0.000, 0.000), Pr at (0.500, 0.500, 0.500) and Zn at (0.000, 0.000, 0.500).

The calculation puts the theoretical density at 5.86 Mg/m³. The value obtained for the calculated volume is 19.50 A^3/atom. Its crystal system is cubic.

Which structure is most stable, and how do the rest compare? From most to least stable: one, two.

## one
DFT (GGA-PBE) results for a relaxed LiPrZn crystal.

It has space group I4mm (No. 107), with a = 3.765 Å, b = 3.765 Å, c = 9.792 Å, α = 90.00°, β = 90.00° and γ = 90.00°. Symmetry generates all atoms from Li at (0.000, 0.000, 0.000), Pr at (0.000, 0.000, 0.695) and Zn at (0.000, 0.000, 0.368).

The calculation puts the theoretical density at 5.10 Mg/m³. The value obtained for the calculated volume is 23.13 A^3/atom. Its crystal system is tetragonal.

## two
DFT (GGA-PBE) results for a relaxed LiPrZn crystal.

It has space group Ima2 (No. 46), with a = 9.562 Å, b = 12.366 Å, c = 7.150 Å, α = 90.00°, β = 90.00° and γ = 90.00°. Symmetry generates all atoms from Li at (0.000, 0.000, 0.000), Li at (0.000, 0.114, 0.659), Pr at (0.250, 0.000, 0.343), Pr at (0.250, 0.214, 0.987), Pr at (0.250, 0.714, 0.487), Zn at (0.000, 0.166, 0.273) and Zn at (0.250, 0.000, 0.772).

The calculation puts the theoretical density at 5.03 Mg/m³. The value obtained for the calculated volume is 23.48 A^3/atom. Its crystal system is orthorhombic.

## three
DFT (GGA-PBE) results for a relaxed LiPrZn crystal.

It has space group P-6m2 (No. 187), with a = 4.8485 Å, b = 4.8485 Å, c = 3.3531 Å, α = 90.00°, β = 90.00° and γ = 120.00°. Symmetry generates all atoms from Li at (0.0000, 0.0000, 0.0000), Pr at (0.3333, 0.6667, 0.5000) and Zn at (0.6667, 0.3333, 0.0000).

The calculation puts the theoretical density at 5.19 Mg/m³. The value obtained for the calculated volume is 22.75 A^3/atom. Its crystal system is hexagonal.

Which structure is most stable, and how do the rest compare? From most to least stable: two, three, one.